Record 1
Material: BaEuTlSn
Method: DFT, PBE-GGA
State: relaxed

CIF file:
```
data_BaEuTlSn
_chemical_formula_sum 'Ba4 Eu4 Tl4 Sn4'
_cell_length_a 8.2556
_cell_length_b 8.2556
_cell_length_c 8.2556
_cell_angle_alpha 90.00
_cell_angle_beta 90.00
_cell_angle_gamma 90.00
_symmetry_space_group_name_H-M 'F -4 3 m'
_symmetry_Int_Tables_number 216
_symmetry_space_group_name_Hall 'F -4 2 3'
loop_
_atom_site_label
_atom_site_fract_x
_atom_site_fract_y
_atom_site_fract_z
_atom_site_occupancy
Ba1 0.0000 0.0000 0.0000 1
Eu1 0.0000 0.0000 0.5000 1
Tl1 0.2500 0.2500 0.7500 1
Sn1 0.2500 0.2500 0.2500 1
```

Magnetization: 1.840 μB per atom

Record 2
Material: BaEuZnSn
Method: DFT, PBE-GGA
State: relaxed

CIF file:
```
data_BaEuZnSn
_chemical_formula_sum 'Ba4 Eu4 Zn4 Sn4'
_cell_length_a 8.0984
_cell_length_b 8.0984
_cell_length_c 8.0984
_cell_angle_alpha 90.00
_cell_angle_beta 90.00
_cell_angle_gamma 90.00
_symmetry_space_group_name_H-M 'F -4 3 m'
_symmetry_Int_Tables_number 216
_symmetry_space_group_name_Hall 'F -4 2 3'
loop_
_atom_site_label
_atom_site_fract_x
_atom_site_fract_y
_atom_site_fract_z
_atom_site_occupancy
Ba1 0.0000 0.0000 0.0000 1
Eu1 0.0000 0.0000 0.5000 1
Zn1 0.2500 0.2500 0.7500 1
Sn1 0.2500 0.2500 0.2500 1
```

Magnetization: 1.770 μB per atom

Record 3
Material: BaSrEu
Method: DFT, PBE-GGA
State: relaxed

CIF file:
```
data_BaSrEu
_chemical_formula_sum 'Ba2 Sr2 Eu2'
_cell_length_a 4.6348
_cell_length_b 4.6348
_cell_length_c 14.9711
_cell_angle_alpha 90.00
_cell_angle_beta 90.00
_cell_angle_gamma 90.00
_symmetry_space_group_name_H-M 'I 4 m m'
_symmetry_Int_Tables_number 107
_symmetry_space_group_name_Hall 'I 4 -2'
loop_
_atom_site_label
_atom_site_fract_x
_atom_site_fract_y
_atom_site_fract_z
_atom_site_occupancy
Ba1 0.0000 0.0000 0.0000 1
Sr1 0.0000 0.0000 0.3198 1
Eu1 0.0000 0.0000 0.6656 1
```

E above lowest polymorph: 0.0 meV per atom
Magnetization: 2.543 μB per atom

Record 4
Material: BaSrEu4
Method: DFT, PBE-GGA
State: relaxed

CIF file:
```
data_BaSrEu4
_chemical_formula_sum 'Ba4 Sr4 Eu16'
_cell_length_a 10.6243
_cell_length_b 10.6243
_cell_length_c 10.6243
_cell_angle_alpha 90.00
_cell_angle_beta 90.00
_cell_angle_gamma 90.00
_symmetry_space_group_name_H-M 'F -4 3 m'
_symmetry_Int_Tables_number 216
_symmetry_space_group_name_Hall 'F -4 2 3'
loop_
_atom_site_label
_atom_site_fract_x
_atom_site_fract_y
_atom_site_fract_z
_atom_site_occupancy
Ba1 0.0000 0.0000 0.0000 1
Sr1 0.2500 0.2500 0.2500 1
Eu1 0.1243 0.1243 0.6243 1
```

Magnetization: 4.952 μB per atom

Quick rundown of total energy, same order as above: -82.15; -77.10; -27.55; -177.37 eV/cell